# 1
Material: UMnC
Method: DFT, GGA-PBE
State: optimized geometry

Its energy above the most stable polymorph in this dataset is 0.00 kJ per mole of atoms.

Geometry as CIF:
```
data_UMnC
_chemical_formula_sum 'U4 Mn4 C4'
_symmetry_space_group_name_H-M 'C 1 2/m 1'
_symmetry_Int_Tables_number 12
_cell_length_a 9.2204
_cell_length_b 2.9268
_cell_length_c 6.2439
_cell_angle_alpha 90.00
_cell_angle_beta 117.83
_cell_angle_gamma 90.00
loop_
_symmetry_equiv_pos_as_xyz
'x,y,z'
'-x,-y,-z'
'-x,y,-z'
'x,-y,z'
'x+1/2,y+1/2,z'
'-x+1/2,-y+1/2,-z'
'-x+1/2,y+1/2,-z'
'x+1/2,-y+1/2,z'
loop_
_atom_site_label
_atom_site_fract_x
_atom_site_fract_y
_atom_site_fract_z
_atom_site_occupancy
U1 0.0668 0.0000 0.3581 1
Mn1 0.1705 0.5000 0.0665 1
C1 0.1878 0.5000 0.7399 1
```

=====

# 2
Material: UMnC2
Method: DFT, GGA-PBE
State: optimized geometry

As for the final energy: -151.7 eV per cell.

Geometry as CIF:
```
data_UMnC2
_chemical_formula_sum 'U4 Mn4 C8'
_symmetry_space_group_name_H-M 'P n m a'
_symmetry_Int_Tables_number 62
_cell_length_a 5.2897
_cell_length_b 2.7290
_cell_length_c 12.1319
_cell_angle_alpha 90.00
_cell_angle_beta 90.00
_cell_angle_gamma 90.00
loop_
_symmetry_equiv_pos_as_xyz
'x,y,z'
'-x,-y,-z'
'-x+1/2,-y,z+1/2'
'x+1/2,y,-z+1/2'
'x+1/2,-y+1/2,-z+1/2'
'-x+1/2,y+1/2,z+1/2'
'-x,y+1/2,-z'
'x,-y+1/2,z'
loop_
_atom_site_label
_atom_site_fract_x
_atom_site_fract_y
_atom_site_fract_z
_atom_site_occupancy
U1 0.1322 0.2500 0.0888 1
Mn1 0.1219 0.7500 0.3052 1
C1 0.0039 0.2500 0.5314 1
C2 0.1304 0.7500 0.7525 1
```

=====

# 3
Material: UMnW2C4
Method: DFT, GGA-PBE
State: optimized geometry

As for the final energy: -333.8 eV per cell.

Geometry as CIF:
```
data_UMnW2C4
_chemical_formula_sum 'U4 Mn4 W8 C16'
_symmetry_space_group_name_H-M 'C m c m'
_symmetry_Int_Tables_number 63
_symmetry_space_group_name_Hall '-C 2c 2'
_cell_length_a 3.1739
_cell_length_b 10.7962
_cell_length_c 10.5504
_cell_angle_alpha 90.00
_cell_angle_beta 90.00
_cell_angle_gamma 90.00
loop_
_atom_site_label
_atom_site_fract_x
_atom_site_fract_y
_atom_site_fract_z
_atom_site_occupancy
U1 0.0000 0.1023 0.2500 1
Mn1 0.0000 0.1578 0.7500 1
W1 0.0000 0.3731 0.0450 1
C1 0.0000 0.0000 0.0000 1
C2 0.0000 0.2702 0.6185 1
C3 0.0000 0.4382 0.2500 1
```

=====

# 4
Material: Y2UMn2C4
Method: DFT, GGA-PBE
State: optimized geometry

As for the final energy: -160.8 eV per cell.

Geometry as CIF:
```
data_Y2UMn2C4
_chemical_formula_sum 'Y4 U2 Mn4 C8'
_symmetry_space_group_name_H-M 'C 1 2/m 1'
_symmetry_Int_Tables_number 12
_cell_length_a 12.6484
_cell_length_b 3.3498
_cell_length_c 6.0037
_cell_angle_alpha 90.00
_cell_angle_beta 108.90
_cell_angle_gamma 90.00
loop_
_symmetry_equiv_pos_as_xyz
'x,y,z'
'-x,-y,-z'
'-x,y,-z'
'x,-y,z'
'x+1/2,y+1/2,z'
'-x+1/2,-y+1/2,-z'
'-x+1/2,y+1/2,-z'
'x+1/2,-y+1/2,z'
loop_
_atom_site_label
_atom_site_fract_x
_atom_site_fract_y
_atom_site_fract_z
_atom_site_occupancy
Y1 0.1369 0.0000 0.0495 1
U1 0.0000 0.0000 0.5000 1
Mn1 0.1825 0.5000 0.4958 1
C1 0.0326 0.5000 0.2555 1
C2 0.2200 0.0000 0.7026 1
```

=====

# 5
Material: Zr2UMnC4
Method: DFT, GGA-PBE
State: optimized geometry

As for the final energy: -308.3 eV per cell.

Geometry as CIF:
```
data_Zr2UMnC4
_chemical_formula_sum 'Zr8 U4 Mn4 C16'
_symmetry_space_group_name_H-M 'C m c m'
_symmetry_Int_Tables_number 63
_symmetry_space_group_name_Hall '-C 2c 2'
_cell_length_a 3.2936
_cell_length_b 11.2532
_cell_length_c 11.1768
_cell_angle_alpha 90.00
_cell_angle_beta 90.00
_cell_angle_gamma 90.00
loop_
_atom_site_label
_atom_site_fract_x
_atom_site_fract_y
_atom_site_fract_z
_atom_site_occupancy
Zr1 0.0000 0.1314 0.0457 1
U1 0.0000 0.3994 0.2500 1
Mn1 0.0000 0.3405 0.7500 1
C1 0.0000 0.0640 0.2500 1
C2 0.0000 0.2308 0.6300 1
C3 0.0000 0.5000 0.0000 1
```

=====

# 6
Material: MnV2C
Method: DFT, GGA-PBE
State: optimized geometry

Its energy above the most stable polymorph in this dataset is 7.42 kJ per mole of atoms.

Geometry as CIF:
```
data_MnV2C
_chemical_formula_sum 'Mn1 V2 C1'
_symmetry_space_group_name_H-M 'P 4/m m m'
_symmetry_Int_Tables_number 123
_symmetry_space_group_name_Hall '-P 4 2'
_cell_length_a 2.8437
_cell_length_b 2.8437
_cell_length_c 5.1366
_cell_angle_alpha 90.00
_cell_angle_beta 90.00
_cell_angle_gamma 90.00
loop_
_atom_site_label
_atom_site_fract_x
_atom_site_fract_y
_atom_site_fract_z
_atom_site_occupancy
Mn1 0.0000 0.0000 0.0000 1
V1 0.5000 0.5000 0.2840 1
C1 0.0000 0.0000 0.5000 1
```

=====

# 7
Material: Mn7VC2
Method: DFT, GGA-PBE
State: optimized geometry

As for the final energy: -178.9 eV per cell.

Geometry as CIF:
```
data_Mn7VC2
_chemical_formula_sum 'Mn14 V2 C4'
_symmetry_space_group_name_H-M 'C m m m'
_symmetry_Int_Tables_number 65
_symmetry_space_group_name_Hall '-C 2 2'
_cell_length_a 6.1534
_cell_length_b 9.7634
_cell_length_c 3.8411
_cell_angle_alpha 90.00
_cell_angle_beta 90.00
_cell_angle_gamma 90.00
loop_
_atom_site_label
_atom_site_fract_x
_atom_site_fract_y
_atom_site_fract_z
_atom_site_occupancy
Mn1 0.0000 0.0000 0.0000 1
Mn2 0.0000 0.2055 0.5000 1
Mn3 0.1869 0.3680 0.0000 1
V1 0.0000 0.5000 0.5000 1
C1 0.0000 0.1994 0.0000 1
```

=====

# 8
Material: Mn2VC
Method: DFT, GGA-PBE
State: optimized geometry

Its energy above the most stable polymorph in this dataset is 48.11 kJ per mole of atoms.

Geometry as CIF:
```
data_Mn2VC
_chemical_formula_sum 'Mn8 V4 C4'
_symmetry_space_group_name_H-M 'F m -3 m'
_symmetry_Int_Tables_number 225
_symmetry_space_group_name_Hall '-F 4 2 3'
_cell_length_a 5.3695
_cell_length_b 5.3695
_cell_length_c 5.3695
_cell_angle_alpha 90.00
_cell_angle_beta 90.00
_cell_angle_gamma 90.00
loop_
_atom_site_label
_atom_site_fract_x
_atom_site_fract_y
_atom_site_fract_z
_atom_site_occupancy
Mn1 0.2500 0.2500 0.2500 1
V1 0.0000 0.0000 0.0000 1
C1 0.0000 0.0000 0.5000 1
```